No. 1
# Ac2SmGe4Pd3 | the Alexandria database | GGA-PBE | relaxed
# - Energy of formation: -8.0 eV per formula unit
# - Magnetic moment: 0.00 μB/f.u.
# - Density of states at the Fermi level: 4.37 states/eV per cell
data_Ac2SmGe4Pd3
_cell_length_a 4.452
_cell_length_b 4.452
_cell_length_c 11.515
_cell_angle_alpha 90.00
_cell_angle_beta 90.00
_cell_angle_gamma 90.00
_symmetry_space_group_name_H-M 'P -4 m 2'
_symmetry_Int_Tables_number 115
loop_
_symmetry_equiv_pos_as_xyz
'x,y,z'
'y,-x,-z'
'-x,-y,z'
'-y,x,-z'
'-x,y,z'
'-y,-x,-z'
'x,-y,z'
'y,x,-z'
loop_
_atom_site_label
_atom_site_fract_x
_atom_site_fract_y
_atom_site_fract_z
Ac1 0.000 0.500 0.227
Sm1 0.000 0.000 0.500
Ge1 0.000 0.000 0.000
Ge2 0.000 0.500 0.664
Ge3 0.500 0.500 0.000
Pd1 0.000 0.500 0.886
Pd2 0.500 0.500 0.500

***

No. 2
# AcSmGe2Pd2 | the Alexandria database | GGA-PBE | relaxed
# - Energy of formation: -5.4 eV per formula unit
# - Magnetic moment: 0.00 μB/f.u.
# - Density of states at the Fermi level: 4.92 states/eV per cell
data_AcSmGe2Pd2
_cell_length_a 4.3895
_cell_length_b 4.3895
_cell_length_c 8.3617
_cell_angle_alpha 90.00
_cell_angle_beta 90.00
_cell_angle_gamma 120.00
_symmetry_space_group_name_H-M 'P -3 m 1'
_symmetry_Int_Tables_number 164
_symmetry_space_group_name_Hall '-P 3 2"'
loop_
_atom_site_label
_atom_site_fract_x
_atom_site_fract_y
_atom_site_fract_z
Ac1 0.0000 0.0000 0.0000
Sm1 0.0000 0.0000 0.5000
Ge1 0.3333 0.6667 0.2663
Pd1 0.3333 0.6667 0.7265

***

No. 3
# AcSmGePd | the Alexandria database | GGA-PBE | relaxed
# - Distance to the lowest polymorph of the same formula: 139 meV per atom
# - Energy of formation: -2.1 eV per formula unit
# - Magnetic moment: 0.00 μB/f.u.
# - Density of states at the Fermi level: 5.04 states/eV per cell
data_AcSmGePd
_cell_length_a 4.850
_cell_length_b 4.850
_cell_length_c 10.472
_cell_angle_alpha 90.00
_cell_angle_beta 90.00
_cell_angle_gamma 90.00
_symmetry_space_group_name_H-M 'P 4/n m m'
_symmetry_Int_Tables_number 129
loop_
_symmetry_equiv_pos_as_xyz
'x,y,z'
'-x,-y,-z'
'-y+1/2,x,z'
'y+1/2,-x,-z'
'-x+1/2,-y+1/2,z'
'x+1/2,y+1/2,-z'
'y,-x+1/2,z'
'-y,x+1/2,-z'
'x+1/2,-y,-z'
'-x+1/2,y,z'
'-y,-x,-z'
'y,x,z'
'-x,y+1/2,-z'
'x,-y+1/2,z'
'y+1/2,x+1/2,-z'
'-y+1/2,-x+1/2,z'
loop_
_atom_site_label
_atom_site_fract_x
_atom_site_fract_y
_atom_site_fract_z
Ac1 0.250 0.250 0.165
Sm1 0.250 0.750 0.500
Ge1 0.250 0.250 0.873
Pd1 0.250 0.250 0.646